1.
CdBiBr2: relaxed, GGA-PBE. Values from VASP.

Computed properties:
Formation energy (no corrections), eV per atom: -0.003
Magnetization, μB per cell: 0.00
Total energy, hartree per atom: -0.07490

Cell and atoms, written as Quantum ESPRESSO input:
```
&SYSTEM
  ibrav = 0, nat = 4, ntyp = 3
/
ATOMIC_SPECIES
Cd 112.41 Cd.upf
Bi 208.98 Bi.upf
Br 79.90 Br.upf
CELL_PARAMETERS angstrom
0.000 3.830 3.830
3.830 0.000 3.830
3.830 3.830 0.000
ATOMIC_POSITIONS crystal
Cd 0.000 0.000 0.000
Bi 0.500 0.500 0.500
Br 0.250 0.250 0.250
Br 0.750 0.750 0.750
```

=====

2.
PuTh2Tc2: relaxed, GGA-PBE. Values from VASP.

Computed properties:
Magnetization, μB per cell: 8.00
ΔH_f (0 K), eV/atom: -0.14
Total energy, hartree per atom: -0.37206

Cell and atoms, written as Quantum ESPRESSO input:
```
&SYSTEM
  ibrav = 0, nat = 10, ntyp = 3
/
ATOMIC_SPECIES
Pu 244.00 Pu.upf
Th 232.04 Th.upf
Tc 98.00 Tc.upf
CELL_PARAMETERS angstrom
5.112 -2.969 0.000
5.112 2.969 0.000
-1.511 0.000 7.723
ATOMIC_POSITIONS crystal
Pu 0.146 0.854 0.750
Pu 0.854 0.146 0.250
Th 0.221 0.478 0.345
Th 0.478 0.221 0.845
Th 0.522 0.779 0.155
Th 0.779 0.522 0.655
Tc 0.001 0.742 0.990
Tc 0.258 0.999 0.510
Tc 0.742 0.001 0.490
Tc 0.999 0.258 0.010
```

=====

3.
NaGeSbSe3: relaxed, GGA-PBE. Values from VASP.

Computed properties:
Formation energy (no corrections), eV per atom: -0.482
Magnetization, μB per cell: 0.00
Total energy, hartree per atom: -0.14334

Cell and atoms, written as Quantum ESPRESSO input:
```
&SYSTEM
  ibrav = 0, nat = 12, ntyp = 4
/
ATOMIC_SPECIES
Na 22.99 Na.upf
Ge 72.64 Ge.upf
Sb 121.76 Sb.upf
Se 78.96 Se.upf
CELL_PARAMETERS angstrom
7.317 0.000 0.000
0.000 4.014 0.000
-1.582 0.000 11.488
ATOMIC_POSITIONS crystal
Na 0.043 0.250 0.171
Na 0.957 0.750 0.829
Ge 0.407 0.250 0.567
Ge 0.593 0.750 0.433
Sb 0.457 0.750 0.848
Sb 0.543 0.250 0.152
Se 0.214 0.750 0.638
Se 0.242 0.250 0.945
Se 0.337 0.750 0.262
Se 0.663 0.250 0.738
Se 0.758 0.750 0.055
Se 0.786 0.250 0.362
```

=====

4.
Sr2ScBe: relaxed, GGA-PBE. Values from VASP.

Computed properties:
Magnetization, μB per cell: 0.00
ΔH_f (0 K), eV/atom: 0.35
Total energy, hartree per atom: -0.11039

Cell and atoms, written as Quantum ESPRESSO input:
```
&SYSTEM
  ibrav = 0, nat = 4, ntyp = 3
/
ATOMIC_SPECIES
Sr 87.62 Sr.upf
Sc 44.96 Sc.upf
Be 9.01 Be.upf
CELL_PARAMETERS angstrom
-1.760 2.100 9.007
1.760 -2.100 9.007
1.760 2.100 -9.007
ATOMIC_POSITIONS crystal
Sr 0.154 0.154 0.000
Sr 0.846 0.846 0.000
Sc 0.500 0.000 0.500
Be 0.000 0.500 0.500
```

=====

5.
Si2Pt: relaxed, GGA-PBE. Values from VASP.

Computed properties:
Formation energy (no corrections), eV per atom: -0.366
Magnetization, μB per cell: 0.00
Total energy, hartree per atom: -0.22031

Cell and atoms, written as Quantum ESPRESSO input:
```
&SYSTEM
  ibrav = 0, nat = 6, ntyp = 2
/
ATOMIC_SPECIES
Si 28.09 Si.upf
Pt 195.08 Pt.upf
CELL_PARAMETERS angstrom
4.094 -1.912 0.000
4.094 1.912 0.000
-3.822 0.000 6.111
ATOMIC_POSITIONS crystal
Si 0.091 0.091 0.400
Si 0.339 0.339 0.949
Si 0.661 0.661 0.051
Si 0.909 0.909 0.600
Pt 0.329 0.329 0.284
Pt 0.671 0.671 0.716
```

=====

6.
NiRuBr2: relaxed, GGA-PBE. Values from VASP.

Computed properties:
Formation energy (no corrections), eV per atom: 0.499
Magnetization, μB per cell: 1.89
Total energy, hartree per atom: -0.15074

Cell and atoms, written as Quantum ESPRESSO input:
```
&SYSTEM
  ibrav = 0, nat = 4, ntyp = 3
/
ATOMIC_SPECIES
Ni 58.69 Ni.upf
Ru 101.07 Ru.upf
Br 79.90 Br.upf
CELL_PARAMETERS angstrom
-1.636 1.760 7.699
1.636 -1.760 7.699
1.636 1.760 -7.699
ATOMIC_POSITIONS crystal
Ni 0.000 0.000 0.000
Ru 0.126 0.626 0.500
Br 0.441 0.441 0.000
Br 0.690 0.190 0.500
```

=====

7.
Sm5ThCd4: relaxed, GGA-PBE. Values from VASP.

Computed properties:
Magnetization, μB per cell: 0.55
ΔH_f (0 K), eV/atom: -0.25
Total energy, hartree per atom: -0.13649

Cell and atoms, written as Quantum ESPRESSO input:
```
&SYSTEM
  ibrav = 0, nat = 10, ntyp = 3
/
ATOMIC_SPECIES
Sm 150.36 Sm.upf
Th 232.04 Th.upf
Cd 112.41 Cd.upf
CELL_PARAMETERS angstrom
3.770 0.000 0.000
0.000 3.770 0.000
0.000 0.000 20.185
ATOMIC_POSITIONS crystal
Sm 0.000 0.000 0.000
Sm 0.000 0.000 0.190
Sm 0.000 0.000 0.385
Sm 0.000 0.000 0.615
Sm 0.000 0.000 0.810
Th 0.500 0.500 0.500
Cd 0.500 0.500 0.095
Cd 0.500 0.500 0.288
Cd 0.500 0.500 0.712
Cd 0.500 0.500 0.905
```

=====

8.
B5C7: relaxed, GGA-PBE. Values from VASP.

Computed properties:
Magnetization, μB per cell: 0.00
ΔH_f (0 K), eV/atom: 0.32
Total energy, hartree per atom: -0.28817

Cell and atoms, written as Quantum ESPRESSO input:
```
&SYSTEM
  ibrav = 0, nat = 12, ntyp = 2
/
ATOMIC_SPECIES
B 10.81 B.upf
C 12.01 C.upf
CELL_PARAMETERS angstrom
4.506 -1.263 0.000
4.506 1.263 0.000
-3.363 0.000 7.105
ATOMIC_POSITIONS crystal
B 0.000 0.000 0.000
B 0.186 0.186 0.681
B 0.325 0.325 0.158
B 0.512 0.512 0.837
B 0.622 0.622 0.274
C 0.163 0.163 0.191
C 0.344 0.344 0.630
C 0.496 0.496 0.364
C 0.683 0.683 0.823
C 0.825 0.825 0.006
C 0.882 0.882 0.559
C 0.999 0.999 0.474
```

=====

> Which formula does entry 8 have?

B5C7